(1)
# PmLuCd2

An optimized crystal structure of PmLuCd2 (GGA-PBE, the Alexandria database).

abc: 3.6924 3.6924 7.7510
angles: 90.00 90.00 90.00
Closest atoms and distances in Å follow each position.
Space group P4/mmm (No. 123)
Asymmetric unit:
Pm  0.0000  0.0000  0.0000 (multiplicity 1)  8 Cd 3.35, 4 Pm 3.69
Lu  0.0000  0.0000  0.5000 (multiplicity 1)  8 Cd 3.16
Cd  0.5000  0.5000  0.2698 (multiplicity 2)  4 Lu 3.16, 4 Pm 3.35

Summary:
polymorph energy (0 for the lowest one): 0 meV per atom
energy: -3.08 eV/atom
ΔH_f (0 K): -309 meV per atom
M_tot: 0.10 μB/atom
volume: 105.67 Å³/cell

(2)
# LiSc2Hg2

An optimized crystal structure of LiSc2Hg2 (GGA-PBE, the Alexandria database).

abc: 8.2997 8.2997 3.3457
angles: 90.00 90.00 90.00
Closest atoms and distances in Å follow each position.
Space group P4/mbm (No. 127)
Asymmetric unit:
Li  0.0000  0.0000  0.0000 (multiplicity 2)  4 Sc 3.23, 2 Li 3.35, 8 Hg 3.53
Sc  0.1358  0.3642  0.0000 (multiplicity 4)  6 Hg 2.89-3.00, 1 Sc 3.19, 2 Li 3.23
Hg  0.1634  0.6634  0.5000 (multiplicity 4)  6 Sc 2.89-3.00

Summary:
polymorph energy (0 for the lowest one): 109 meV per atom
energy: -3.23 eV/atom
ΔH_f (0 K): -195 meV per atom
M_tot: 0.00 μB/atom
volume: 230.47 Å³/cell

(3)
# MnGaCoRuS

An optimized crystal structure of MnGaCoRuS (GGA-PBE, the Alexandria database).

abc: 2.9483 3.7311 6.3395
angles: 90.00 90.00 90.00
Closest atoms and distances in Å follow each position.
Space group Pmm2 (No. 25)
Asymmetric unit:
Mn  0.0000  0.0000  0.0000 (multiplicity 1)  4 S 2.54, 4 Co 2.66
Ga  0.5000  0.0000  0.5821 (multiplicity 1)  2 Co 2.37, 4 Ru 2.60
Co  0.5000  0.5000  0.8118 (multiplicity 1)  1 S 2.08
Ru  0.0000  0.5000  0.4160 (multiplicity 1)  2 S 2.29
S  0.5000  0.5000  0.1400 (multiplicity 1)  1 Co 2.08, 2 Ru 2.29

Summary:
formation energy (no corrections): -144 meV/atom
polymorph energy (0 for the lowest one): 92 meV per atom
energy: -6.68 eV/atom
M_tot: 0.87 μB/atom
volume: 69.74 Å³/cell

(4)
# KTc4Pt

An optimized crystal structure of KTc4Pt (GGA-PBE, the Alexandria database).

abc: 7.4434 7.4434 7.4434
angles: 90.00 90.00 90.00
Closest atoms and distances in Å follow each position.
Space group F-43m (No. 216)
Asymmetric unit:
K  0.0000  0.0000  0.0000 (multiplicity 4)  12 Tc 3.09, 4 Pt 3.22
Tc  0.1245  0.1245  0.3755 (multiplicity 16)  6 Tc 2.62-2.64
Pt  0.2500  0.2500  0.7500 (multiplicity 4)  12 Tc 3.08, 4 K 3.22

Summary:
energy: -7.21 eV/atom
ΔH_f (0 K): 894 meV per atom
M_tot: 0.00 μB/atom
volume: 412.40 Å³/cell

(5)
# Tb6DyZn2

An optimized crystal structure of Tb6DyZn2 (GGA-PBE, the Alexandria database).

abc: 12.4744 3.6311 11.7720
angles: 90.00 109.35 90.00
Closest atoms and distances in Å follow each position.
Space group C2/m (No. 12)
Asymmetric unit:
Tb  0.0243  0.0000  0.3291 (multiplicity 4)  2 Zn 3.06, 1 Tb 3.41
Tb  0.1871  0.5000  0.5894 (multiplicity 4)  2 Zn 3.20, 6 Tb 3.35-3.56
Tb  0.1903  0.5000  0.8754 (multiplicity 4)  2 Zn 3.08, 3 Tb 3.35
Dy  0.0000  0.0000  0.0000 (multiplicity 2)  4 Zn 3.07
Zn  0.1470  0.5000  0.2022 (multiplicity 4)  6 Tb 3.06-3.20, 2 Dy 3.07

Summary:
polymorph energy (0 for the lowest one): 0 meV per atom
energy: -4.03 eV/atom
ΔH_f (0 K): -144 meV per atom
M_tot: 0.00 μB/atom
volume: 503.12 Å³/cell

(6)
# AcSmZn2Ge2

An optimized crystal structure of AcSmZn2Ge2 (GGA-PBE, the Alexandria database).

abc: 4.2886 4.2886 8.7940
angles: 90.00 90.00 120.00
Closest atoms and distances in Å follow each position.
Space group P-3m1 (No. 164)
Asymmetric unit:
Ac  0.0000  0.0000  0.0000 (multiplicity 1)  6 Zn 3.40, 6 Ge 3.43
Sm  0.0000  0.0000  0.5000 (multiplicity 1)  6 Ge 3.20, 6 Zn 3.23
Zn  0.3333  0.6667  0.7357 (multiplicity 2)  3 Ge 2.48
Ge  0.3333  0.6667  0.2701 (multiplicity 2)  3 Zn 2.48

Summary:
energy: -4.08 eV/atom
ΔH_f (0 K): -644 meV per atom
M_tot: 0.00 μB/atom
volume: 140.07 Å³/cell

(7)
# CsTl2Ga

An optimized crystal structure of CsTl2Ga (GGA-PBE, the Alexandria database).

abc: 4.8251 4.8251 23.2344
angles: 90.00 90.00 120.00
Closest atoms and distances in Å follow each position.
Space group R3m (No. 160, hexagonal axes)
Asymmetric unit:
Cs  0.0000  0.0000  0.0000 (multiplicity 3)  6 Tl 3.92-3.95, 1 Ga 4.09
Tl  0.0000  0.0000  0.2128 (multiplicity 3)  3 Ga 3.07
Tl  0.0000  0.0000  0.4521 (multiplicity 3)  3 Ga 2.93
Ga  0.0000  0.0000  0.8238 (multiplicity 3)  6 Tl 2.93-3.07

Summary:
polymorph energy (0 for the lowest one): 7 meV per atom
energy: -2.21 eV/atom
ΔH_f (0 K): -61 meV per atom
M_tot: 0.00 μB/atom
volume: 468.47 Å³/cell

(8)
# LiMo2As

An optimized crystal structure of LiMo2As (GGA-PBE, the Alexandria database).

abc: 3.7595 3.7595 8.3405
angles: 90.00 90.00 90.00
Closest atoms and distances in Å follow each position.
Space group I4/mmm (No. 139)
Asymmetric unit:
Li  0.0000  0.0000  0.0000 (multiplicity 2)  4 As 2.66, 8 Mo 2.81
Mo  0.0000  0.5000  0.2500 (multiplicity 4)  4 Mo 2.66, 4 As 2.81, 4 Li 2.81
As  0.0000  0.0000  0.5000 (multiplicity 2)  4 Li 2.66, 8 Mo 2.81

Summary:
energy: -6.90 eV/atom
ΔH_f (0 K): 157 meV per atom
M_tot: 0.00 μB/atom
volume: 117.88 Å³/cell

Question: Which value of energy does entry 6 give?
Answer: -4.08 eV/atom

Question: energy of number 6 (AcSmZn2Ge2)?
Answer: -4.08 eV/atom

Question: The highest volume belongs to which entry?
Answer: Tb6DyZn2